# 1
DFT (PBE) results for a relaxed RbP3Au crystal.

Values from the calculation:
SG: Pm-3m (221)
E above lowest polymorph, meV/atom: 0

Structure (POSCAR):
```
RbP3Au
1.0
-4.848 0.506 1.258
0.022 -4.640 1.953
1.356 1.887 4.466
P Au Rb
3 1 1
Direct
0.000 0.500 0.000 P
0.000 0.000 0.500 P
0.500 0.000 0.000 P
0.000 0.000 0.000 Au
0.500 0.500 0.500 Rb
```

---

# 2
DFT (PBE) results for a relaxed RbP2Au crystal.

Values from the calculation:
SG: Fm-3m (225)
E above lowest polymorph, meV/atom: 983

Structure (POSCAR):
```
RbP2Au
1.0
3.220 -3.311 1.790
-0.337 -1.485 4.713
-1.504 -4.602 1.045
P Au Rb
2 1 1
Direct
0.250 0.250 0.250 P
0.750 0.750 0.750 P
0.500 0.500 0.500 Au
0.000 0.000 0.000 Rb
```

---

# 3
DFT (PBE) results for a relaxed Rb2PAu3 crystal.

Values from the calculation:
SG: Fmmm (69)

Structure (POSCAR):
```
Rb2PAu3
1.0
6.578 0.458 -2.233
-2.493 6.105 -2.233
-0.012 -0.020 8.883
Rb P Au
4 2 6
Direct
0.750 0.250 0.500 Rb
0.243 0.757 0.000 Rb
0.250 0.750 0.500 Rb
0.757 0.243 0.000 Rb
0.334 0.334 0.669 P
0.666 0.666 0.331 P
0.642 0.642 0.821 Au
0.822 0.822 0.179 Au
0.358 0.358 0.179 Au
0.178 0.178 0.821 Au
0.821 0.821 0.642 Au
0.179 0.179 0.358 Au
```

---

# 4
DFT (PBE) results for a relaxed Rb2PAu2 crystal.

Values from the calculation:
SG: P4/mbm (127)

Structure (POSCAR):
```
Rb2PAu2
1.0
7.000 0.000 0.000
0.000 7.000 0.000
0.000 0.000 5.575
P Au Rb
2 4 4
Direct
0.000 0.000 0.000 P
0.500 0.500 0.000 P
0.346 0.846 0.000 Au
0.846 0.654 0.000 Au
0.654 0.154 0.000 Au
0.154 0.346 0.000 Au
0.174 0.674 0.500 Rb
0.674 0.826 0.500 Rb
0.826 0.326 0.500 Rb
0.326 0.174 0.500 Rb
```

---

# 5
DFT (PBE) results for a relaxed RbPAu4 crystal.

Values from the calculation:
SG: P2_1/m (11)

Structure (POSCAR):
```
RbPAu4
1.0
5.740 0.000 -2.213
0.000 5.581 0.000
-2.269 0.000 10.420
Rb P Au
2 2 8
Direct
0.410 0.250 0.304 Rb
0.590 0.750 0.696 Rb
0.110 0.250 0.850 P
0.890 0.750 0.150 P
0.037 0.000 0.638 Au
0.963 0.500 0.362 Au
0.037 0.500 0.638 Au
0.963 0.000 0.362 Au
0.164 0.750 0.060 Au
0.836 0.250 0.940 Au
0.500 0.000 0.000 Au
0.500 0.500 0.000 Au
```

---

# 6
DFT (PBE) results for a relaxed RbP2Au crystal.

Values from the calculation:
SG: P2_1/c (14)
E above lowest polymorph, meV/atom: 0

Structure (POSCAR):
```
RbP2Au
1.0
-1.280 -4.916 -4.305
5.082 -1.773 0.515
-4.347 -10.435 6.976
Rb P Au
4 8 4
Direct
0.228 0.834 0.280 Rb
0.228 0.666 0.780 Rb
0.772 0.166 0.720 Rb
0.772 0.334 0.220 Rb
0.907 0.418 0.447 P
0.907 0.082 0.947 P
0.609 0.901 0.039 P
0.093 0.918 0.053 P
0.391 0.099 0.961 P
0.391 0.401 0.461 P
0.093 0.582 0.553 P
0.609 0.599 0.539 P
0.747 0.492 0.984 Au
0.253 0.992 0.516 Au
0.747 0.008 0.484 Au
0.253 0.508 0.016 Au
```

---

Number 1: DOS(E_F) 5.91 states/eV per cell, energy of formation from the pure elements 0.715 eV per atom, spin magnetization 0.00 Bohr magnetons per cell. Number 2: DOS(E_F) 2.62 states/eV per cell, energy of formation from the pure elements 0.732 eV per atom, spin magnetization 0.00 Bohr magnetons per cell. Number 3: DOS(E_F) 4.05 states/eV per cell, energy of formation from the pure elements -0.255 eV per atom, spin magnetization 0.00 Bohr magnetons per cell. Number 4: DOS(E_F) 2.19 states/eV per cell, energy of formation from the pure elements -0.101 eV per atom, spin magnetization 0.00 Bohr magnetons per cell. Number 5: DOS(E_F) 2.76 states/eV per cell, energy of formation from the pure elements -0.139 eV per atom, spin magnetization 0.00 Bohr magnetons per cell. Number 6: DOS(E_F) 0.59 states/eV per cell, energy of formation from the pure elements -0.251 eV per atom, spin magnetization 0.00 Bohr magnetons per cell.